Record 1
The following is a PBE-GGA calculation of a relaxed BaY4In3O12 crystal, from the Alexandria database. Values from VASP.

```
&SYSTEM
  ibrav = 0, nat = 20, ntyp = 4
/
ATOMIC_SPECIES
Ba 137.33 Ba.upf
Y 88.91 Y.upf
In 114.82 In.upf
O 16.00 O.upf
CELL_PARAMETERS angstrom
-4.2233 4.2233 4.2233
4.2233 -4.2233 4.2233
4.2233 4.2233 -4.2233
ATOMIC_POSITIONS crystal
Ba 0.0000 0.0000 0.0000
Y 0.0000 0.0000 0.5000
Y 0.0000 0.5000 0.0000
Y 0.5000 0.0000 0.0000
Y 0.5000 0.5000 0.5000
In 0.0000 0.5000 0.5000
In 0.5000 0.0000 0.5000
In 0.5000 0.5000 0.0000
O 0.1444 0.3142 0.8301
O 0.1699 0.4841 0.3142
O 0.1699 0.8556 0.6858
O 0.3142 0.1699 0.4841
O 0.3142 0.8301 0.1444
O 0.4841 0.3142 0.1699
O 0.5159 0.6858 0.8301
O 0.6858 0.1699 0.8556
O 0.6858 0.8301 0.5159
O 0.8301 0.1444 0.3142
O 0.8301 0.5159 0.6858
O 0.8556 0.6858 0.1699
```

Properties
- Symmetry: Im-3
- E_tot: -0.53409 Ry/atom
- Energy relative to the elements, uncorrected: -2492 meV per atom

Record 2
The following is a PBE-GGA calculation of a relaxed K2CaI crystal, from the Alexandria database. Values from VASP.

```
&SYSTEM
  ibrav = 0, nat = 16, ntyp = 3
/
ATOMIC_SPECIES
K 39.10 K.upf
Ca 40.08 Ca.upf
I 126.90 I.upf
CELL_PARAMETERS angstrom
9.4757 0.0000 0.0000
0.0000 9.4757 0.0000
0.0000 0.0000 9.4757
ATOMIC_POSITIONS crystal
K 0.2500 0.2500 0.2500
K 0.2500 0.2500 0.7500
K 0.2500 0.7500 0.2500
K 0.2500 0.7500 0.7500
K 0.7500 0.2500 0.2500
K 0.7500 0.2500 0.7500
K 0.7500 0.7500 0.2500
K 0.7500 0.7500 0.7500
Ca 0.0000 0.0000 0.0000
Ca 0.0000 0.5000 0.5000
Ca 0.5000 0.0000 0.5000
Ca 0.5000 0.5000 0.0000
I 0.0000 0.0000 0.5000
I 0.0000 0.5000 0.0000
I 0.5000 0.0000 0.0000
I 0.5000 0.5000 0.5000
```

Properties
- Symmetry: Fm-3m
- E_tot: -0.12297 Ry/atom
- Energy relative to the elements, uncorrected: -236 meV per atom
- Energy relative to the lowest polymorph listed for this composition: 103 kJ/mol of formula units

Record 3
The following is a PBE-GGA calculation of a relaxed Ac2NdMnSe5 crystal, from the Alexandria database. Values from VASP.

```
&SYSTEM
  ibrav = 0, nat = 18, ntyp = 4
/
ATOMIC_SPECIES
Ac 227.00 Ac.upf
Nd 144.24 Nd.upf
Mn 54.94 Mn.upf
Se 78.96 Se.upf
CELL_PARAMETERS angstrom
2.1334 -8.9704 0.0000
2.1334 8.9704 0.0000
0.0000 0.0000 12.9953
ATOMIC_POSITIONS crystal
Ac 0.1208 0.8792 0.5000
Ac 0.1228 0.8772 0.1479
Ac 0.8772 0.1228 0.6479
Ac 0.8792 0.1208 0.0000
Nd 0.1814 0.8186 0.8292
Nd 0.8186 0.1814 0.3292
Mn 0.4479 0.5521 0.2343
Mn 0.5521 0.4479 0.7343
Se 0.0161 0.9839 0.8233
Se 0.3022 0.6978 0.4905
Se 0.3123 0.6877 0.1666
Se 0.3463 0.6537 0.8232
Se 0.4949 0.5051 0.5613
Se 0.5051 0.4949 0.0613
Se 0.6537 0.3463 0.3232
Se 0.6877 0.3123 0.6666
Se 0.6978 0.3022 0.9905
Se 0.9839 0.0161 0.3233
```

Properties
- Symmetry: Cmc2_1
- E_tot: -0.44465 Ry/atom
- Energy relative to the elements, uncorrected: -1652 meV per atom

Record 4
The following is a PBE-GGA calculation of a relaxed TiInPd3 crystal, from the Alexandria database. Values from VASP.

```
&SYSTEM
  ibrav = 0, nat = 10, ntyp = 3
/
ATOMIC_SPECIES
Ti 47.87 Ti.upf
In 114.82 In.upf
Pd 106.42 Pd.upf
CELL_PARAMETERS angstrom
2.4013 -7.2866 0.0000
2.4013 7.2866 0.0000
-3.6432 0.0000 4.6661
ATOMIC_POSITIONS crystal
Ti 0.1103 0.8897 0.7500
Ti 0.8897 0.1103 0.2500
In 0.1028 0.8972 0.2500
In 0.8972 0.1028 0.7500
Pd 0.3009 0.6991 0.7500
Pd 0.3047 0.6953 0.2500
Pd 0.4994 0.5006 0.7500
Pd 0.5006 0.4994 0.2500
Pd 0.6953 0.3047 0.7500
Pd 0.6991 0.3009 0.2500
```

Properties
- Symmetry: C2/c
- Energy of formation: -568 meV per atom
- E_tot: -0.42709 Ry/atom
- Energy relative to the lowest polymorph listed for this composition: 0 kJ/mol of formula units

Record 5
The following is a PBE-GGA calculation of a relaxed LaScBr2 crystal, from the Alexandria database. Values from VASP.

```
&SYSTEM
  ibrav = 0, nat = 4, ntyp = 3
/
ATOMIC_SPECIES
La 138.91 La.upf
Sc 44.96 Sc.upf
Br 79.90 Br.upf
CELL_PARAMETERS angstrom
3.6114 0.0000 0.0000
0.0000 4.8607 0.0000
0.0000 0.0000 6.3518
ATOMIC_POSITIONS crystal
La 0.0000 0.0000 0.0000
Sc 0.5000 0.0000 0.5000
Br 0.0000 0.5000 0.5000
Br 0.5000 0.5000 0.0000
```

Properties
- Symmetry: Pmmm
- E_tot: -0.33460 Ry/atom
- Energy relative to the elements, uncorrected: -901 meV per atom
- Energy relative to the lowest polymorph listed for this composition: 81 kJ/mol of formula units

Record 6
The following is a PBE-GGA calculation of a relaxed BaCe2WN5 crystal, from the Alexandria database. Values from VASP.

```
&SYSTEM
  ibrav = 0, nat = 9, ntyp = 4
/
ATOMIC_SPECIES
Ba 137.33 Ba.upf
Ce 140.12 Ce.upf
W 183.84 W.upf
N 14.01 N.upf
CELL_PARAMETERS angstrom
-1.9950 3.0475 5.6578
1.9950 -3.0475 5.6578
1.9950 3.0475 -5.6578
ATOMIC_POSITIONS crystal
Ba 0.0000 0.0000 0.0000
Ce 0.2862 0.7862 0.5000
Ce 0.7138 0.2138 0.5000
W 0.5000 0.5000 0.0000
N 0.1323 0.3609 0.7714
N 0.4105 0.6391 0.7714
N 0.5000 0.0000 0.5000
N 0.5895 0.3609 0.2286
N 0.8677 0.6391 0.2286
```

Properties
- Symmetry: Immm
- E_tot: -0.63953 Ry/atom
- Energy relative to the elements, uncorrected: -1104 meV per atom